First-principles (PBE+U) data for an optimized crystal structure of Cs2CrHgF6, as listed in the Alexandria database.

abc: 6.4942 6.4942 6.4965
angles: 60.01 60.01 90.00
Closest atoms and distances in Å follow each position.
Sites, in units of the cell vectors:
Cs  0.7500  0.2500  0.5000  12 F 3.26
Cs  0.2500  0.7500  0.5000  12 F 3.26
Cr  0.5000  0.5000  0.0000  6 F 1.97
Hg  0.0000  0.0000  0.0000  6 F 2.62-2.63
F  0.2857  0.2857  0.4285  1 Cr 1.97
F  0.7143  0.7143  0.5715  1 Cr 1.97
F  0.2856  0.2856  0.0000  1 Cr 1.97
F  0.7144  0.7144  0.0000  1 Cr 1.97
F  0.7144  0.2856  0.0000  1 Cr 1.97
F  0.2856  0.7144  0.0000  1 Cr 1.97

total energy = -45.0 eV per cell
theoretical density = 5.4 g/cm³
N(E_F) = 0.01 states/eV/atom
magnetic moment = 4.00 μB per cell